--- a ---
## Be2VTc (PBE)

Data for a relaxed Be2VTc crystal.

Cell lengths 3.4340, 3.4340, 16.9509 Å; angles 90.00, 90.00, 90.00 degrees
Last column: nearest neighbours and their distance in Å.
Space group I-42d (No. 122)
Unique sites:
Be  0.2404  0.2500  0.1250 [8 per cell]  4 Be 2.38-2.48, 2 Tc 2.43, 2 V 2.45
V  0.0000  0.0000  0.5000 [4 per cell]  4 Tc 2.43, 4 Be 2.45
Tc  0.0000  0.0000  0.0000 [4 per cell]  4 V 2.43, 4 Be 2.43

Output
- total magnetic moment (μB per formula unit) = 0.002
- N(E_F) (states/eV/f.u.) = 2.84
- crystal system = tetragonal

---

--- b ---
## Be2VTc (PBE)

Data for a relaxed Be2VTc crystal.

Cell lengths 5.6101, 5.6101, 5.6101 Å; angles 90.00, 90.00, 90.00 degrees
Last column: nearest neighbours and their distance in Å.
Space group Fm-3m (No. 225)
Unique sites:
Be  0.2500  0.2500  0.2500 [8 per cell]  4 Tc 2.43, 4 V 2.43
V  0.0000  0.0000  0.0000 [4 per cell]  8 Be 2.43
Tc  0.0000  0.0000  0.5000 [4 per cell]  8 Be 2.43

Output
- total magnetic moment (μB per formula unit) = 0.005
- N(E_F) (states/eV/f.u.) = 4.14
- crystal system = cubic

---

How do the energies compare? Relative to the most stable structure, in meV per atom: a 453; b 0.

---

--- a ---
## YBeTc (PBE)

Data for a relaxed YBeTc crystal.

Cell lengths 3.2799, 3.2799, 9.4836 Å; angles 90.00, 90.00, 90.00 degrees
Last column: nearest neighbours and their distance in Å.
Space group I4mm (No. 107)
Unique sites:
Y  0.0000  0.0000  0.0000 [2 per cell]  1 Be 2.66, 1 Tc 2.77
Be  0.0000  0.0000  0.7194 [2 per cell]  4 Tc 2.42, 1 Y 2.66
Tc  0.0000  0.0000  0.2921 [2 per cell]  4 Be 2.42

Output
- total magnetic moment (μB per formula unit) = 0.000
- N(E_F) (states/eV/f.u.) = 1.76
- crystal system = tetragonal

---

--- b ---
## YBeTc (PBE)

Data for a relaxed YBeTc crystal.

Cell lengths 6.3263, 6.3263, 6.3263 Å; angles 90.00, 90.00, 90.00 degrees
Last column: nearest neighbours and their distance in Å.
Space group F-43m (No. 216)
Unique sites:
Y  0.0000  0.0000  0.0000 [4 per cell]  4 Tc 2.74, 4 Be 2.74
Be  0.2500  0.2500  0.2500 [4 per cell]  4 Y 2.74
Tc  0.2500  0.2500  0.7500 [4 per cell]  4 Y 2.74

Output
- total magnetic moment (μB per formula unit) = 0.944
- N(E_F) (states/eV/f.u.) = 7.01
- crystal system = cubic

---

How do the energies compare? Relative to the most stable structure, in meV per atom: a 0; b 1411.

---

--- a ---
## YBeTc (PBE)

Data for a relaxed YBeTc crystal.

Cell lengths 3.7092, 3.7092, 7.8871 Å; angles 90.00, 90.00, 90.00 degrees
Last column: nearest neighbours and their distance in Å.
Space group P4/nmm (No. 129, origin choice 2)
Unique sites:
Y  0.2500  0.2500  0.1622 [2 per cell]  4 Be 2.83
Be  0.2500  0.2500  0.7039 [2 per cell]  4 Tc 2.45
Tc  0.2500  0.7500  0.5000 [2 per cell]  4 Be 2.45, 4 Tc 2.62

Output
- total magnetic moment (μB per formula unit) = 0.265
- N(E_F) (states/eV/f.u.) = 3.15
- crystal system = tetragonal

---

--- b ---
## YBeTc (PBE)

Data for a relaxed YBeTc crystal.

Cell lengths 6.0048, 6.0048, 6.0048 Å; angles 90.00, 90.00, 90.00 degrees
Last column: nearest neighbours and their distance in Å.
Space group F-43m (No. 216)
Unique sites:
Y  0.0000  0.0000  0.0000 [4 per cell]  4 Be 2.60
Be  0.2500  0.2500  0.7500 [4 per cell]  4 Tc 2.60, 4 Y 2.60
Tc  0.0000  0.0000  0.5000 [4 per cell]  4 Be 2.60

Output
- total magnetic moment (μB per formula unit) = 0.001
- N(E_F) (states/eV/f.u.) = 2.68
- crystal system = cubic

---

--- c ---
## YBeTc (PBE)

Data for a relaxed YBeTc crystal.

Cell lengths 3.9914, 3.9914, 3.8617 Å; angles 90.00, 90.00, 120.00 degrees
Last column: nearest neighbours and their distance in Å.
Space group P-6m2 (No. 187)
Unique sites:
Y  0.0000  0.0000  0.0000 [1 per cell]  6 Be 3.01, 6 Tc 3.01
Be  0.6667  0.3333  0.5000 [1 per cell]  3 Tc 2.30
Tc  0.3333  0.6667  0.5000 [1 per cell]  3 Be 2.30

Output
- total magnetic moment (μB per formula unit) = 0.000
- N(E_F) (states/eV/f.u.) = 0.94
- crystal system = hexagonal

---

How do the energies compare? Relative to the most stable structure, in meV per atom: a 0; b 468; c 143.

---

--- a ---
## YBe2Tc2 (PBE)

Data for a relaxed YBe2Tc2 crystal.

Cell lengths 6.5320, 6.5320, 3.2913 Å; angles 90.00, 90.00, 90.00 degrees
Last column: nearest neighbours and their distance in Å.
Space group P4/mbm (No. 127)
Unique sites:
Y  0.0000  0.0000  0.0000 [2 per cell]  4 Be 2.64, 8 Tc 2.94
Be  0.1107  0.3893  0.0000 [4 per cell]  1 Be 2.04
Tc  0.1663  0.6663  0.5000 [4 per cell]  6 Be 2.47-2.64

Output
- total magnetic moment (μB per formula unit) = 0.000
- N(E_F) (states/eV/f.u.) = 2.94
- crystal system = tetragonal

---

--- b ---
## YBe2Tc2 (PBE)

Data for a relaxed YBe2Tc2 crystal.

Cell lengths 4.2592, 4.2592, 8.4844 Å; angles 90.00, 90.00, 90.00 degrees
Last column: nearest neighbours and their distance in Å.
Space group I4/mmm (No. 139)
Unique sites:
Y  0.0000  0.0000  0.0000 [2 per cell]  8 Be 3.01, 10 Tc 3.05-3.24
Be  0.0000  0.5000  0.2500 [4 per cell]  4 Tc 2.32
Tc  0.0000  0.0000  0.3597 [4 per cell]  4 Be 2.32, 1 Tc 2.38

Output
- total magnetic moment (μB per formula unit) = 0.000
- N(E_F) (states/eV/f.u.) = 3.54
- crystal system = tetragonal

---

How do the energies compare? Relative to the most stable structure, in meV per atom: a 0; b 22.

---

--- a ---
## Be2ZnTc2 (PBE)

Data for a relaxed Be2ZnTc2 crystal.

Cell lengths 6.5948, 6.5948, 2.9693 Å; angles 90.00, 90.00, 90.00 degrees
Last column: nearest neighbours and their distance in Å.
Space group P4/mbm (No. 127)
Unique sites:
Be  0.1705  0.3295  0.0000 [4 per cell]  6 Tc 2.42-2.47
Zn  0.0000  0.0000  0.5000 [2 per cell]  4 Tc 2.61, 8 Be 2.86
Tc  0.1248  0.6248  0.5000 [4 per cell]  1 Tc 2.33, 6 Be 2.42-2.47

Output
- total magnetic moment (μB per formula unit) = 0.000
- N(E_F) (states/eV/f.u.) = 1.97
- crystal system = tetragonal

---

--- b ---
## Be2ZnTc2 (PBE)

Data for a relaxed Be2ZnTc2 crystal.

Cell lengths 5.9856, 5.9856, 3.1917 Å; angles 90.00, 90.00, 90.00 degrees
Last column: nearest neighbours and their distance in Å.
Space group P4/mbm (No. 127)
Unique sites:
Be  0.1203  0.3797  0.0000 [4 per cell]  1 Be 2.04
Zn  0.0000  0.0000  0.0000 [2 per cell]  4 Be 2.38
Tc  0.1743  0.6743  0.5000 [4 per cell]  6 Be 2.36-2.40

Output
- total magnetic moment (μB per formula unit) = 0.000
- N(E_F) (states/eV/f.u.) = 5.67
- crystal system = tetragonal

---

--- c ---
## Be2ZnTc2 (PBE)

Data for a relaxed Be2ZnTc2 crystal.

Cell lengths 4.2275, 4.2275, 7.5016 Å; angles 90.00, 90.00, 90.00 degrees
Last column: nearest neighbours and their distance in Å.
Space group I4/mmm (No. 139)
Unique sites:
Be  0.0000  0.5000  0.2500 [4 per cell]  4 Tc 2.23
Zn  0.0000  0.0000  0.0000 [2 per cell]  2 Tc 2.58, 8 Be 2.83
Tc  0.0000  0.0000  0.3445 [4 per cell]  4 Be 2.23, 1 Tc 2.33

Output
- total magnetic moment (μB per formula unit) = 0.000
- N(E_F) (states/eV/f.u.) = 0.09
- crystal system = tetragonal

---

How do the energies compare? Relative to the most stable structure, in meV per atom: a 315; b 0; c 476.

---

--- a ---
## Be3ZnTc (PBE)

Data for a relaxed Be3ZnTc crystal.

Cell lengths 4.1972, 4.1972, 4.1972 Å; angles 90.00, 90.00, 90.00 degrees
Last column: nearest neighbours and their distance in Å.
Space group Pm-3m (No. 221)
Unique sites:
Be  0.0000  0.0000  0.5000 [3 per cell]  2 Tc 2.10
Zn  0.5000  0.5000  0.5000 [1 per cell]  12 Be 2.97
Tc  0.0000  0.0000  0.0000 [1 per cell]  6 Be 2.10

Output
- total magnetic moment (μB per formula unit) = 0.000
- N(E_F) (states/eV/f.u.) = 2.17
- crystal system = cubic

---

--- b ---
## Be3ZnTc (PBE)

Data for a relaxed Be3ZnTc crystal.

Cell lengths 3.9544, 3.9544, 3.9544 Å; angles 90.00, 90.00, 90.00 degrees
Last column: nearest neighbours and their distance in Å.
Space group Pm-3m (No. 221)
Unique sites:
Be  0.0000  0.0000  0.5000 [3 per cell]  2 Zn 1.98
Zn  0.0000  0.0000  0.0000 [1 per cell]  6 Be 1.98
Tc  0.5000  0.5000  0.5000 [1 per cell]  12 Be 2.80

Output
- total magnetic moment (μB per formula unit) = 1.167
- N(E_F) (states/eV/f.u.) = 2.40
- crystal system = cubic

---

How do the energies compare? Relative to the most stable structure, in meV per atom: a 30; b 0.